Here is crystalline PrGe2Pt3 at its relaxed geometry from Alexandria. Energies are from PBE-GGA.

Summary:
- E (eV per atom) = -6.12
- SG = Pmmn (59)

a b c (Å): 5.087 4.188 11.544
angles (deg): 90.00 90.00 90.00
Fractional coordinates of all 12 atoms:
Pr 0.990 0.500 0.500
Pr 0.010 0.000 0.000
Ge 0.334 0.000 0.688
Ge 0.334 0.000 0.312
Ge 0.666 0.500 0.188
Ge 0.666 0.500 0.812
Pt 0.172 0.500 0.784
Pt 0.540 0.000 0.500
Pt 0.172 0.500 0.216
Pt 0.828 0.000 0.284
Pt 0.460 0.500 0.000
Pt 0.828 0.000 0.716